[1]
{"formula": "Li6Mn3CoP6O24", "functional": "GGA+U", "state": "relaxed", "m_tot_mub_per_fu": 14.03, "final_energy_ev_per_fu": -273.10, "lattice_angstrom": [[8.212, 0.000, 0.000], [3.722, 7.650, 0.000], [3.924, 2.547, 7.135]], "species": ["Li", "Li", "Li", "Li", "Li", "Li", "Mn", "Mn", "Mn", "Co", "P", "P", "P", "P", "P", "P", "O", "O", "O", "O", "O", "O", "O", "O", "O", "O", "O", "O", "O", "O", "O", "O", "O", "O", "O", "O", "O", "O", "O", "O"], "fractional_positions": [[0.000, 0.000, 0.000], [0.065, 0.322, 0.241], [0.199, 0.452, 0.657], [0.327, 0.083, 0.947], [0.574, 0.455, 0.731], [0.746, 0.802, 0.374], [0.244, 0.587, 0.202], [0.362, 0.856, 0.504], [0.743, 0.078, 0.720], [0.798, 0.416, 0.023], [0.041, 0.954, 0.342], [0.066, 0.680, 0.894], [0.075, 0.246, 0.606], [0.518, 0.783, 0.816], [0.547, 0.172, 0.112], [0.573, 0.485, 0.390], [0.077, 0.586, 0.099], [0.110, 0.114, 0.171], [0.113, 0.437, 0.471], [0.119, 0.198, 0.782], [0.187, 0.097, 0.508], [0.204, 0.815, 0.431], [0.275, 0.671, 0.749], [0.314, 0.799, 0.964], [0.376, 0.326, 0.169], [0.451, 0.571, 0.259], [0.497, 0.342, 0.577], [0.517, 0.872, 0.609], [0.533, 0.975, 0.256], [0.546, 0.185, 0.921], [0.577, 0.638, 0.447], [0.590, 0.908, 0.841], [0.640, 0.580, 0.847], [0.742, 0.185, 0.082], [0.779, 0.417, 0.267], [0.859, 0.273, 0.645], [0.860, 0.021, 0.492], [0.942, 0.880, 0.871], [0.998, 0.835, 0.279], [0.999, 0.554, 0.866]]}



[2]
{"formula": "Rb2CuNi3F12", "functional": "GGA+U", "state": "relaxed", "m_tot_mub_per_fu": 7.00, "final_energy_ev_per_fu": -73.69, "lattice_angstrom": [[3.589, 2.072, 5.990], [-3.589, 2.072, 5.990], [0.000, -4.144, 5.990]], "species": ["Rb", "Rb", "Cu", "Ni", "Ni", "Ni", "F", "F", "F", "F", "F", "F", "F", "F", "F", "F", "F", "F"], "fractional_positions": [[0.122, 0.122, 0.122], [0.878, 0.878, 0.878], [0.500, 0.500, 0.500], [0.000, 0.500, 0.500], [0.500, 0.000, 0.500], [0.500, 0.500, 0.000], [0.176, 0.176, 0.572], [0.176, 0.572, 0.176], [0.183, 0.573, 0.573], [0.427, 0.427, 0.817], [0.427, 0.817, 0.427], [0.428, 0.824, 0.824], [0.572, 0.176, 0.176], [0.573, 0.183, 0.573], [0.573, 0.573, 0.183], [0.817, 0.427, 0.427], [0.824, 0.428, 0.824], [0.824, 0.824, 0.428]]}